(1)
DFT (GGA-PBE) results for an optimized crystal structure of Tb4PmTh2.

Cell and atoms, written as POSCAR:
```
Tb4PmTh2
1.0
-2.811 2.811 8.301
2.811 -2.811 8.301
2.811 2.811 -8.301
Tb Pm Th
4 1 2
Direct
0.000 0.500 0.500 Tb
0.182 0.182 0.000 Tb
0.500 0.000 0.500 Tb
0.818 0.818 0.000 Tb
0.000 0.000 0.000 Pm
0.388 0.388 0.000 Th
0.612 0.612 0.000 Th
```

Mass density ... 7.88 Mg/m³
Formation energy ... 792 meV per atom
Polymorph energy (0 for the lowest one) ... 73.4 kJ per mole of atoms
VASP energy ... -4.6529 eV per atom

(2)
DFT (GGA-PBE) results for an optimized crystal structure of Pr2Er3Bi2.

Cell and atoms, written as POSCAR:
```
Pr2Er3Bi2
1.0
6.213 -2.183 0.000
6.213 2.183 0.000
-3.071 0.000 8.277
Pr Er Bi
2 3 2
Direct
0.129 0.129 0.286 Pr
0.871 0.871 0.714 Pr
0.377 0.377 0.053 Er
0.500 0.500 0.500 Er
0.623 0.623 0.947 Er
0.169 0.169 0.702 Bi
0.831 0.831 0.298 Bi
```

Mass density ... 8.89 Mg/m³
Formation energy ... -473 meV per atom
VASP energy ... -4.9030 eV per atom

(3)
DFT (GGA-PBE) results for an optimized crystal structure of Ca3Cd.

Cell and atoms, written as POSCAR:
```
Ca3Cd
1.0
7.316 0.000 0.000
0.000 17.887 0.000
0.000 0.000 6.249
Ca Cd
18 6
Direct
0.003 0.070 0.234 Ca
0.003 0.430 0.234 Ca
0.005 0.250 0.953 Ca
0.250 0.250 0.465 Ca
0.250 0.607 0.289 Ca
0.250 0.893 0.289 Ca
0.495 0.250 0.953 Ca
0.497 0.070 0.234 Ca
0.497 0.430 0.234 Ca
0.503 0.570 0.766 Ca
0.503 0.930 0.766 Ca
0.505 0.750 0.047 Ca
0.750 0.107 0.711 Ca
0.750 0.393 0.711 Ca
0.750 0.750 0.535 Ca
0.995 0.750 0.047 Ca
0.997 0.570 0.766 Ca
0.997 0.930 0.766 Ca
0.250 0.091 0.759 Cd
0.250 0.409 0.759 Cd
0.250 0.750 0.613 Cd
0.750 0.250 0.387 Cd
0.750 0.591 0.241 Cd
0.750 0.909 0.241 Cd
```

Mass density ... 2.83 Mg/m³
Formation energy ... -116 meV per atom
VASP energy ... -1.8456 eV per atom

(4)
DFT (GGA-PBE) results for an optimized crystal structure of SrCa3Br.

Cell and atoms, written as POSCAR:
```
SrCa3Br
1.0
7.158 0.000 0.000
0.000 7.158 0.000
0.000 0.000 7.158
Sr Ca Br
1 3 1
Direct
0.000 0.000 0.000 Sr
0.000 0.000 0.500 Ca
0.000 0.500 0.000 Ca
0.500 0.000 0.000 Ca
0.500 0.500 0.500 Br
```

Mass density ... 1.30 Mg/m³
Polymorph energy (0 for the lowest one) ... 91.6 kJ per mole of atoms
Uncorrected formation energy ... 0.58 eV per atom
VASP energy ... -1.2930 eV per atom